AlTlCuTe3 after structural relaxation. Source: OQMD via LeMat-Bulk, functional PBE-GGA.

Geometry as POSCAR:
```
AlTlCuTe3
1.0
8.558 0.000 0.000
0.000 4.013 0.000
-3.495 0.000 9.927
Al Tl Cu Te
2 2 2 6
Direct
0.184 0.250 0.151 Al
0.816 0.750 0.849 Al
0.249 0.750 0.711 Tl
0.751 0.250 0.289 Tl
0.437 0.750 0.419 Cu
0.563 0.250 0.581 Cu
0.055 0.250 0.867 Te
0.246 0.250 0.435 Te
0.412 0.750 0.160 Te
0.588 0.250 0.840 Te
0.754 0.750 0.565 Te
0.945 0.750 0.133 Te
```

The space group is P2_1/m, No. 11. The total energy comes out at -3.4490 eV/atom.

---

DyEr2Tm2Lu2Fe2Te2 after structural relaxation. Source: OQMD via LeMat-Bulk, functional PBE-GGA.

Geometry as POSCAR:
```
DyEr2Tm2Lu2Fe2Te2
1.0
-1.915 7.728 4.614
1.915 -7.728 4.614
1.915 7.728 -4.614
Dy Er Tm Lu Fe Te
1 2 2 2 2 2
Direct
0.000 0.000 0.000 Dy
0.083 0.733 0.350 Er
0.384 0.733 0.650 Er
0.446 0.583 0.863 Tm
0.720 0.583 0.137 Tm
0.061 0.374 0.687 Lu
0.687 0.374 0.313 Lu
0.303 0.067 0.236 Fe
0.832 0.067 0.764 Fe
0.338 0.338 0.000 Te
0.733 0.233 0.500 Te
```

The space group is Imm2, No. 44. The total energy comes out at -5.4701 eV/atom. The value obtained for the size of the total moment is 0.3 μB/cell.

---

Nd2Sm2CI2Br3 after structural relaxation. Source: OQMD via LeMat-Bulk, functional PBE-GGA.

Geometry as POSCAR:
```
Nd2Sm2CI2Br3
1.0
9.467 -1.986 0.000
9.467 1.986 0.000
-1.847 0.000 8.197
Nd Sm C I Br
2 2 1 2 3
Direct
0.137 0.137 0.074 Nd
0.863 0.863 0.926 Nd
0.499 0.499 0.203 Sm
0.501 0.501 0.797 Sm
0.000 0.000 0.000 C
0.330 0.330 0.196 I
0.670 0.670 0.804 I
0.000 0.000 0.500 Br
0.343 0.343 0.657 Br
0.657 0.657 0.343 Br
```

The space group is C2/m, No. 12. As for the energy above the most stable polymorph in this dataset: 2.6 meV per atom. The total energy comes out at -4.9391 eV/atom. The value obtained for the size of the total moment is 0.0 μB/cell.

---

ErFeOs after structural relaxation. Source: OQMD via LeMat-Bulk, functional PBE-GGA.

Geometry as POSCAR:
```
ErFeOs
1.0
0.000 3.028 3.028
3.028 0.000 3.028
3.028 3.028 0.000
Er Fe Os
1 1 1
Direct
0.000 0.000 0.000 Er
0.250 0.250 0.250 Fe
0.500 0.500 0.500 Os
```

For the energy of formation from the pure elements, the calculation gives 0.398 eV/atom. The space group is F-43m, No. 216. As for the energy above the most stable polymorph in this dataset: 0.0 meV per atom. The total energy comes out at -7.6350 eV/atom. The value obtained for the size of the total moment is 2.4 μB/cell.

---

Ho2TmCuSn3Ir2 after structural relaxation. Source: OQMD via LeMat-Bulk, functional PBE-GGA.

Geometry as POSCAR:
```
Ho2TmCuSn3Ir2
1.0
3.834 0.000 0.000
0.000 6.506 3.766
0.000 -6.506 3.766
Ho Tm Cu Sn Ir
2 1 1 3 2
Direct
0.000 0.202 0.798 Ho
0.000 0.798 0.202 Ho
0.000 0.394 0.394 Tm
0.000 0.797 0.797 Cu
0.500 0.060 0.060 Sn
0.500 0.536 0.798 Sn
0.500 0.798 0.536 Sn
0.500 0.133 0.464 Ir
0.500 0.464 0.133 Ir
```

The space group is Amm2, No. 38. The total energy comes out at -5.9597 eV/atom. The value obtained for the size of the total moment is 0.0 μB/cell.

---

Gd2Lu3Al3 after structural relaxation. Source: OQMD via LeMat-Bulk, functional PBE-GGA.

Geometry as POSCAR:
```
Gd2Lu3Al3
1.0
6.425 0.000 0.000
0.000 5.145 0.000
-2.213 0.000 6.052
Gd Lu Al
2 3 3
Direct
0.000 0.000 0.000 Gd
0.281 0.500 0.775 Gd
0.501 0.000 0.518 Lu
0.744 0.500 0.210 Lu
0.986 0.000 0.491 Lu
0.249 0.500 0.280 Al
0.514 0.000 0.031 Al
0.770 0.500 0.698 Al
```

The space group is Pm, No. 6. As for the energy above the most stable polymorph in this dataset: 0.0 meV per atom. The total energy comes out at -4.4995 eV/atom. The value obtained for the size of the total moment is 0.0 μB/cell.

---

MgFe2Sn after structural relaxation. Source: OQMD via LeMat-Bulk, functional PBE-GGA.

Geometry as POSCAR:
```
MgFe2Sn
1.0
6.278 0.000 0.000
0.000 6.278 0.000
0.000 0.000 6.278
Mg Fe Sn
4 8 4
Direct
0.000 0.000 0.000 Mg
0.000 0.000 0.500 Mg
0.000 0.500 0.000 Mg
0.500 0.000 0.000 Mg
0.257 0.257 0.257 Fe
0.257 0.257 0.743 Fe
0.257 0.743 0.257 Fe
0.257 0.743 0.743 Fe
0.743 0.257 0.257 Fe
0.743 0.257 0.743 Fe
0.743 0.743 0.257 Fe
0.743 0.743 0.743 Fe
0.000 0.500 0.500 Sn
0.500 0.000 0.500 Sn
0.500 0.500 0.000 Sn
0.500 0.500 0.500 Sn
```

The space group is Pm-3m, No. 221. The total energy comes out at -5.2812 eV/atom. The value obtained for the size of the total moment is 16.0 μB/cell.

---

Y2Ta4Cu3N3 after structural relaxation. Source: OQMD via LeMat-Bulk, functional PBE-GGA.

Geometry as POSCAR:
```
Y2Ta4Cu3N3
1.0
4.763 -2.748 0.000
4.763 2.748 0.000
-3.197 0.000 13.426
Y Ta Cu N
4 8 6 6
Direct
0.042 0.876 0.622 Y
0.124 0.958 0.878 Y
0.876 0.042 0.122 Y
0.958 0.124 0.378 Y
0.192 0.355 0.083 Ta
0.298 0.482 0.416 Ta
0.355 0.192 0.583 Ta
0.482 0.298 0.916 Ta
0.518 0.702 0.084 Ta
0.645 0.808 0.417 Ta
0.702 0.518 0.584 Ta
0.808 0.645 0.917 Ta
0.085 0.404 0.751 Cu
0.404 0.085 0.251 Cu
0.427 0.573 0.250 Cu
0.573 0.427 0.750 Cu
0.596 0.915 0.749 Cu
0.915 0.596 0.249 Cu
0.000 0.500 0.500 N
0.166 0.669 0.000 N
0.331 0.834 0.500 N
0.500 0.000 0.000 N
0.669 0.166 0.500 N
0.834 0.331 0.000 N
```

The space group is C2/c, No. 15. The total energy comes out at -8.7242 eV/atom. The value obtained for the size of the total moment is 0.0 μB/cell.

---

ScCuTcAs after structural relaxation. Source: OQMD via LeMat-Bulk, functional PBE-GGA.

Geometry as POSCAR:
```
ScCuTcAs
1.0
0.000 3.121 3.121
3.121 0.000 3.121
3.121 3.121 0.000
Sc Cu Tc As
1 1 1 1
Direct
0.000 0.000 0.000 Sc
0.750 0.750 0.750 Cu
0.250 0.250 0.250 Tc
0.500 0.500 0.500 As
```

The space group is F-43m, No. 216. As for the energy above the most stable polymorph in this dataset: 0.0 meV per atom. The total energy comes out at -6.3132 eV/atom. The value obtained for the size of the total moment is 0.0 μB/cell.

---

NiBiAu after structural relaxation. Source: OQMD via LeMat-Bulk, functional PBE-GGA.

Geometry as POSCAR:
```
NiBiAu
1.0
3.523 0.000 0.000
0.000 6.652 3.845
0.000 -6.652 3.845
Ni Bi Au
3 3 3
Direct
0.000 0.000 0.000 Ni
0.000 0.334 0.667 Ni
0.000 0.667 0.334 Ni
0.500 0.000 0.333 Bi
0.500 0.333 0.000 Bi
0.500 0.667 0.667 Bi
0.000 0.001 0.667 Au
0.000 0.333 0.333 Au
0.000 0.667 0.001 Au
```

The space group is Amm2, No. 38. The total energy comes out at -4.1032 eV/atom. The value obtained for the size of the total moment is 0.0 μB/cell.

---

Sm2AgGe2Au after structural relaxation. Source: OQMD via LeMat-Bulk, functional PBE-GGA.

Geometry as POSCAR:
```
Sm2AgGe2Au
1.0
4.533 0.000 0.000
-2.266 3.925 0.000
0.000 0.000 7.496
Sm Ag Ge Au
2 1 2 1
Direct
0.000 0.000 0.000 Sm
0.000 0.000 0.499 Sm
0.667 0.333 0.779 Ag
0.333 0.667 0.708 Ge
0.667 0.333 0.207 Ge
0.333 0.667 0.279 Au
```

The space group is P3m1, No. 156. The total energy comes out at -4.8581 eV/atom. The value obtained for the size of the total moment is 0.0 μB/cell.

---

LiGa2Ir after structural relaxation. Source: OQMD via LeMat-Bulk, functional PBE-GGA.

Geometry as POSCAR:
```
LiGa2Ir
1.0
3.956 0.000 0.000
0.000 3.956 0.000
0.000 0.000 3.589
Li Ga Ir
1 2 1
Direct
0.000 0.000 0.000 Li
0.000 0.500 0.500 Ga
0.500 0.000 0.500 Ga
0.500 0.500 0.000 Ir
```

The space group is P4/mmm, No. 123. As for the energy above the most stable polymorph in this dataset: 165.4 meV per atom. The total energy comes out at -4.5364 eV/atom. The value obtained for the size of the total moment is 0.0 μB/cell.